[1]
TbErTh2P4 | GGA-PBE | optimized geometry

Values from the calculation:
Formation energy ... -153 kJ/mol of atoms
Calculated volume ... 191 Å³/cell
VASP energy ... -58.3 eV/cell

```
data_TbErTh2P4
_space_group_name_H-M_alt 'P 1 2/m 1'
_space_group_IT_number 10
_space_group_name_Hall '-P 2y'
_cell_length_a 7.0169
_cell_length_b 4.0849
_cell_length_c 7.0772
_cell_angle_alpha 90.00
_cell_angle_beta 109.70
_cell_angle_gamma 90.00
loop_
_atom_site_label
_atom_site_type_symbol
_atom_site_fract_x
_atom_site_fract_y
_atom_site_fract_z
Tb1 Tb 0.0000 0.0000 0.0000
Er1 Er 0.0000 0.5000 0.5000
Th1 Th 0.5000 0.0000 0.5000
Th2 Th 0.5000 0.5000 0.0000
P1 P 0.2416 0.0000 0.7455
P2 P 0.2428 0.5000 0.2492
```

[2]
TbEr3Th2P6 | GGA-PBE | optimized geometry

Values from the calculation:
Formation energy ... -154 kJ/mol of atoms
Calculated volume ... 559 Å³/cell
VASP energy ... -169.6 eV/cell

```
data_TbEr3Th2P6
_space_group_name_H-M_alt 'C 1 2/m 1'
_space_group_IT_number 12
_space_group_name_Hall '-C 2y'
_cell_length_a 17.5909
_cell_length_b 4.0501
_cell_length_c 8.0613
_cell_angle_alpha 90.00
_cell_angle_beta 103.05
_cell_angle_gamma 90.00
loop_
_atom_site_label
_atom_site_type_symbol
_atom_site_fract_x
_atom_site_fract_y
_atom_site_fract_z
Tb1 Tb 0.0000 0.0000 0.0000
Er1 Er 0.0000 0.0000 0.5000
Er2 Er 0.1659 0.5000 0.8340
Th1 Th 0.1649 0.5000 0.3300
P1 P 0.0023 0.5000 0.7485
P2 P 0.1648 0.0000 0.5885
P3 P 0.1674 0.0000 0.0767
```

[3]
Tb2ErThP4 | GGA-PBE | optimized geometry

Values from the calculation:
Formation energy ... -155 kJ/mol of atoms
Calculated volume ... 187 Å³/cell
VASP energy ... -55.8 eV/cell

```
data_Tb2ErThP4
_space_group_name_H-M_alt 'P 1 2/m 1'
_space_group_IT_number 10
_space_group_name_Hall '-P 2y'
_cell_length_a 6.9964
_cell_length_b 4.0521
_cell_length_c 7.0069
_cell_angle_alpha 90.00
_cell_angle_beta 109.47
_cell_angle_gamma 90.00
loop_
_atom_site_label
_atom_site_type_symbol
_atom_site_fract_x
_atom_site_fract_y
_atom_site_fract_z
Tb1 Tb 0.0000 0.0000 0.0000
Tb2 Tb 0.5000 0.5000 0.0000
Er1 Er 0.0000 0.5000 0.5000
Th1 Th 0.5000 0.0000 0.5000
P1 P 0.2448 0.5000 0.2474
P2 P 0.2460 0.0000 0.7489
```

[4]
Tb2ErTmP4 | GGA-PBE | optimized geometry

Values from the calculation:
Formation energy ... -155 kJ/mol of atoms
Calculated volume ... 180 Å³/cell
VASP energy ... -52.8 eV/cell

```
data_Tb2ErTmP4
_space_group_name_H-M_alt 'P 1 2/m 1'
_space_group_IT_number 10
_space_group_name_Hall '-P 2y'
_cell_length_a 6.9146
_cell_length_b 3.9948
_cell_length_c 6.9162
_cell_angle_alpha 90.00
_cell_angle_beta 109.47
_cell_angle_gamma 90.00
loop_
_atom_site_label
_atom_site_type_symbol
_atom_site_fract_x
_atom_site_fract_y
_atom_site_fract_z
Tb1 Tb 0.0000 0.0000 0.0000
Tb2 Tb 0.0000 0.5000 0.5000
Er1 Er 0.5000 0.0000 0.5000
Tm1 Tm 0.5000 0.5000 0.0000
P1 P 0.2545 0.0000 0.7521
P2 P 0.2542 0.5000 0.2508
```

[5]
TbEr2UP4 | GGA-PBE | optimized geometry

Values from the calculation:
Formation energy ... -140 kJ/mol of atoms
Calculated volume ... 177 Å³/cell
VASP energy ... -58.3 eV/cell

```
data_TbEr2UP4
_space_group_name_H-M_alt 'P 1 2/m 1'
_space_group_IT_number 10
_space_group_name_Hall '-P 2y'
_cell_length_a 6.8675
_cell_length_b 3.9600
_cell_length_c 6.8779
_cell_angle_alpha 90.00
_cell_angle_beta 109.24
_cell_angle_gamma 90.00
loop_
_atom_site_label
_atom_site_type_symbol
_atom_site_fract_x
_atom_site_fract_y
_atom_site_fract_z
Tb1 Tb 0.0000 0.0000 0.0000
Er1 Er 0.5000 0.0000 0.5000
Er2 Er 0.5000 0.5000 0.0000
U1 U 0.0000 0.5000 0.5000
P1 P 0.2484 0.0000 0.7457
P2 P 0.2492 0.5000 0.2560
```

[6]
TbErU2P4 | GGA-PBE | optimized geometry

Values from the calculation:
Formation energy ... -125 kJ/mol of atoms
Calculated volume ... 177 Å³/cell
VASP energy ... -63.7 eV/cell

```
data_TbErU2P4
_space_group_name_H-M_alt 'P 1 2/m 1'
_space_group_IT_number 10
_space_group_name_Hall '-P 2y'
_cell_length_a 6.8299
_cell_length_b 3.9445
_cell_length_c 6.9388
_cell_angle_alpha 90.00
_cell_angle_beta 109.17
_cell_angle_gamma 90.00
loop_
_atom_site_label
_atom_site_type_symbol
_atom_site_fract_x
_atom_site_fract_y
_atom_site_fract_z
Tb1 Tb 0.0000 0.0000 0.0000
Er1 Er 0.5000 0.5000 0.0000
U1 U 0.0000 0.5000 0.5000
U2 U 0.5000 0.0000 0.5000
P1 P 0.2506 0.0000 0.7463
P2 P 0.2536 0.5000 0.2552
```

[7]
Tb2ErUP4 | GGA-PBE | optimized geometry

Values from the calculation:
Formation energy ... -140 kJ/mol of atoms
Calculated volume ... 179 Å³/cell
VASP energy ... -58.4 eV/cell

```
data_Tb2ErUP4
_space_group_name_H-M_alt 'P 1 2/m 1'
_space_group_IT_number 10
_space_group_name_Hall '-P 2y'
_cell_length_a 6.8926
_cell_length_b 3.9734
_cell_length_c 6.9035
_cell_angle_alpha 90.00
_cell_angle_beta 109.22
_cell_angle_gamma 90.00
loop_
_atom_site_label
_atom_site_type_symbol
_atom_site_fract_x
_atom_site_fract_y
_atom_site_fract_z
Tb1 Tb 0.0000 0.0000 0.0000
Tb2 Tb 0.5000 0.5000 0.0000
Er1 Er 0.0000 0.5000 0.5000
U1 U 0.5000 0.0000 0.5000
P1 P 0.2522 0.0000 0.7426
P2 P 0.2546 0.5000 0.2572
```

[8]
Tb2Y3ErP6 | GGA-PBE | optimized geometry

Values from the calculation:
Formation energy ... -156 kJ/mol of atoms
Calculated volume ... 548 Å³/cell
VASP energy ... -170.2 eV/cell

```
data_Tb2Y3ErP6
_space_group_name_H-M_alt 'C 1 2/m 1'
_space_group_IT_number 12
_space_group_name_Hall '-C 2y'
_cell_length_a 6.9478
_cell_length_b 12.0322
_cell_length_c 6.9481
_cell_angle_alpha 90.00
_cell_angle_beta 109.45
_cell_angle_gamma 90.00
loop_
_atom_site_label
_atom_site_type_symbol
_atom_site_fract_x
_atom_site_fract_y
_atom_site_fract_z
Tb1 Tb 0.0000 0.1665 0.0000
Y1 Y 0.0000 0.0000 0.5000
Y2 Y 0.0000 0.3329 0.5000
Er1 Er 0.0000 0.5000 0.0000
P1 P 0.2481 0.5000 0.7504
P2 P 0.2488 0.3343 0.2493
```

> formation energy of number 4 (Tb2ErTmP4)?

-155 kJ/mol of atoms